No. 1
Density functional theory data (PBE) for an optimized crystal structure of Cs3Tb3ZrSe8. Values from VASP.

The structure in Quantum ESPRESSO input format:
```
&SYSTEM
  ibrav = 0, nat = 15, ntyp = 4
/
ATOMIC_SPECIES
Cs 132.91 Cs.upf
Tb 158.93 Tb.upf
Zr 91.22 Zr.upf
Se 78.96 Se.upf
CELL_PARAMETERS angstrom
4.165 2.405 8.549
-4.165 2.405 8.549
0.000 -4.810 8.549
ATOMIC_POSITIONS crystal
Cs 0.000 0.500 0.500
Cs 0.500 0.000 0.500
Cs 0.500 0.500 0.000
Tb 0.000 0.000 0.500
Tb 0.000 0.500 0.000
Tb 0.500 0.000 0.000
Zr 0.500 0.500 0.500
Se 0.229 0.229 0.229
Se 0.242 0.719 0.719
Se 0.281 0.281 0.758
Se 0.281 0.758 0.281
Se 0.719 0.242 0.719
Se 0.719 0.719 0.242
Se 0.758 0.281 0.281
Se 0.771 0.771 0.771
```

Properties
The value obtained for the formation energy without anion corrections is -1667 meV per atom.

No. 2
Density functional theory data (PBE) for an optimized crystal structure of ZrTl2Ni. Values from VASP.

The structure in Quantum ESPRESSO input format:
```
&SYSTEM
  ibrav = 0, nat = 4, ntyp = 3
/
ATOMIC_SPECIES
Zr 91.22 Zr.upf
Tl 204.38 Tl.upf
Ni 58.69 Ni.upf
CELL_PARAMETERS angstrom
3.234 0.000 0.000
0.000 4.477 0.000
-0.959 0.000 5.786
ATOMIC_POSITIONS crystal
Zr 0.000 0.000 0.000
Tl 0.358 0.500 0.735
Tl 0.642 0.500 0.265
Ni 0.500 0.000 0.500
```

Properties
The formation energy from the elements comes out at 75 kJ/mol of formula units.

No. 3
Density functional theory data (PBE) for an optimized crystal structure of SrAl2Ag. Values from VASP.

The structure in Quantum ESPRESSO input format:
```
&SYSTEM
  ibrav = 0, nat = 32, ntyp = 3
/
ATOMIC_SPECIES
Sr 87.62 Sr.upf
Al 26.98 Al.upf
Ag 107.87 Ag.upf
CELL_PARAMETERS angstrom
16.636 0.000 0.000
0.000 7.340 0.000
0.000 0.000 6.176
ATOMIC_POSITIONS crystal
Sr 0.104 0.250 0.213
Sr 0.136 0.750 0.007
Sr 0.364 0.250 0.507
Sr 0.396 0.750 0.713
Sr 0.604 0.250 0.287
Sr 0.636 0.750 0.493
Sr 0.864 0.250 0.993
Sr 0.896 0.750 0.787
Al 0.043 0.064 0.702
Al 0.043 0.436 0.702
Al 0.213 0.562 0.519
Al 0.213 0.938 0.519
Al 0.287 0.062 0.019
Al 0.287 0.438 0.019
Al 0.457 0.564 0.202
Al 0.457 0.936 0.202
Al 0.543 0.064 0.798
Al 0.543 0.436 0.798
Al 0.713 0.562 0.981
Al 0.713 0.938 0.981
Al 0.787 0.062 0.481
Al 0.787 0.438 0.481
Al 0.957 0.564 0.298
Al 0.957 0.936 0.298
Ag 0.073 0.750 0.505
Ag 0.185 0.250 0.737
Ag 0.315 0.750 0.237
Ag 0.427 0.250 0.005
Ag 0.573 0.750 0.995
Ag 0.685 0.250 0.763
Ag 0.815 0.750 0.263
Ag 0.927 0.250 0.495
```

Properties
The formation energy from the elements comes out at -83 kJ/mol of formula units.

No. 4
Density functional theory data (PBE) for an optimized crystal structure of CsMoOs2. Values from VASP.

The structure in Quantum ESPRESSO input format:
```
&SYSTEM
  ibrav = 0, nat = 8, ntyp = 3
/
ATOMIC_SPECIES
Cs 132.91 Cs.upf
Mo 95.94 Mo.upf
Os 190.23 Os.upf
CELL_PARAMETERS angstrom
-3.746 3.746 3.322
3.746 -3.746 3.322
3.746 3.746 -3.322
ATOMIC_POSITIONS crystal
Cs 0.000 0.000 0.000
Cs 0.750 0.250 0.500
Mo 0.250 0.750 0.500
Mo 0.500 0.500 0.000
Os 0.194 0.625 0.069
Os 0.375 0.444 0.569
Os 0.556 0.125 0.931
Os 0.875 0.806 0.431
```

Properties
The offset from the most stable computed form is 0.0 meV per atom. The formation energy from the elements comes out at 721 kJ/mol of formula units.